[1]
Compound: PmInAgSb
Source: the Alexandria database
Functional: PBE-GGA
Structure: optimized geometry

```
PmInAgSb
1.0
-1.942 4.418 -2.211
-5.245 0.616 -0.536
-2.574 3.553 2.988
Sb In Ag Pm
1 1 1 1
Direct
0.250 0.250 0.250
0.500 0.500 0.500
0.750 0.750 0.750
0.000 0.000 0.000
```

Computed properties:
As for the density of states at the Fermi level: 3.98 states/eV per cell. Its space group is F-43m. The formation energy (no corrections) is -0.279 eV per atom.

[2]
Compound: Pm2ScIn2Ag2
Source: the Alexandria database
Functional: PBE-GGA
Structure: optimized geometry

```
Pm2ScIn2Ag2
1.0
4.805 0.000 0.000
2.403 4.161 0.000
2.403 1.387 8.907
Pm Sc In Ag
2 1 2 2
Direct
0.124 0.124 0.627
0.876 0.876 0.373
0.000 0.000 0.000
0.733 0.733 0.801
0.267 0.267 0.199
0.615 0.615 0.154
0.385 0.385 0.846
```

Computed properties:
As for the density of states at the Fermi level: 6.01 states/eV per cell. Its space group is R-3m. As for the formation energy: -1.79 eV/f.u.

[3]
Compound: Pm2SmIn2Ag2
Source: the Alexandria database
Functional: PBE-GGA
Structure: optimized geometry

```
Pm2SmIn2Ag2
1.0
-3.119 1.443 3.491
-1.271 -3.093 3.581
5.502 2.387 7.367
Pm Sm In Ag
2 1 2 2
Direct
0.126 0.126 0.622
0.874 0.874 0.378
0.000 0.000 0.000
0.738 0.738 0.787
0.262 0.262 0.213
0.604 0.604 0.188
0.396 0.396 0.812
```

Computed properties:
As for the density of states at the Fermi level: 5.50 states/eV per cell. Its space group is R-3m. As for the formation energy: -2.12 eV/f.u.

[4]
Compound: PmInAgSn
Source: the Alexandria database
Functional: PBE-GGA
Structure: optimized geometry

```
PmInAgSn
1.0
-4.495 -0.291 -0.478
0.064 -4.103 1.891
-0.588 1.985 4.328
Pm In Ag Sn
1 1 1 1
Direct
0.500 0.500 0.000
0.000 0.500 0.500
0.500 0.000 0.500
0.000 0.000 0.000
```

Computed properties:
As for the density of states at the Fermi level: 1.92 states/eV per cell. Its space group is Pmmm. For the energy relative to the lowest polymorph listed for this composition, the calculation gives 0 meV per atom. As for the formation energy: -1.76 eV/f.u.

[5]
Compound: PmInAgSn
Source: the Alexandria database
Functional: PBE-GGA
Structure: optimized geometry

```
PmInAgSn
1.0
-4.999 1.487 0.420
-3.810 -3.092 -1.817
-3.189 -2.459 3.340
In Sn Ag Pm
1 1 1 1
Direct
0.500 0.500 0.500
0.250 0.250 0.250
0.750 0.750 0.750
0.000 0.000 0.000
```

Computed properties:
As for the density of states at the Fermi level: 3.00 states/eV per cell. Its space group is F-43m. For the energy relative to the lowest polymorph listed for this composition, the calculation gives 195 meV per atom. As for the formation energy: -0.98 eV/f.u.

[6]
Compound: SrPmInAg
Source: the Alexandria database
Functional: PBE-GGA
Structure: optimized geometry

```
SrPmInAg
1.0
5.500 0.000 0.000
2.750 4.764 0.000
2.750 1.588 4.491
Sr In Ag Pm
1 1 1 1
Direct
0.500 0.500 0.500
0.750 0.750 0.750
0.250 0.250 0.250
0.000 0.000 0.000
```

Computed properties:
As for the density of states at the Fermi level: 4.06 states/eV per cell. Its space group is F-43m. For the energy relative to the lowest polymorph listed for this composition, the calculation gives 34 meV per atom. As for the formation energy: -1.30 eV/f.u.

[7]
Compound: SrPmInAg
Source: the Alexandria database
Functional: PBE-GGA
Structure: optimized geometry

```
SrPmInAg
1.0
3.827 0.000 0.000
0.000 3.827 0.000
0.000 0.000 8.062
Sr Pm In Ag
1 1 1 1
Direct
0.000 0.000 0.848
0.000 0.000 0.370
0.500 0.500 0.129
0.500 0.500 0.581
```

Computed properties:
As for the density of states at the Fermi level: 3.27 states/eV per cell. Its space group is P4mm. For the energy relative to the lowest polymorph listed for this composition, the calculation gives 0 meV per atom. As for the formation energy: -1.44 eV/f.u.

[8]
Compound: SrPm2In2Ag2
Source: the Alexandria database
Functional: PBE-GGA
Structure: optimized geometry

```
SrPm2In2Ag2
1.0
4.957 0.000 0.000
2.478 4.293 0.000
2.478 1.431 9.586
Sr Pm In Ag
1 2 2 2
Direct
0.000 0.000 0.000
0.128 0.128 0.615
0.872 0.872 0.385
0.746 0.746 0.761
0.254 0.254 0.239
0.589 0.589 0.233
0.411 0.411 0.767
```

Computed properties:
As for the density of states at the Fermi level: 5.22 states/eV per cell. Its space group is R-3m. As for the formation energy: -2.12 eV/f.u.

[9]
Compound: TbPmInAg
Source: the Alexandria database
Functional: PBE-GGA
Structure: optimized geometry

```
TbPmInAg
1.0
-1.454 -0.754 -5.074
3.328 -2.411 -3.397
-1.086 -4.914 -1.760
In Tb Ag Pm
1 1 1 1
Direct
0.750 0.750 0.750
0.000 0.000 0.000
0.250 0.250 0.250
0.500 0.500 0.500
```

Computed properties:
As for the density of states at the Fermi level: 3.88 states/eV per cell. Its space group is F-43m. For the energy relative to the lowest polymorph listed for this composition, the calculation gives 12 meV per atom. As for the formation energy: -1.53 eV/f.u.

[10]
Compound: TbPmInAg
Source: the Alexandria database
Functional: PBE-GGA
Structure: optimized geometry

```
TbPmInAg
1.0
3.671 0.000 0.000
0.000 3.671 0.000
0.000 0.000 7.860
Tb Pm In Ag
1 1 1 1
Direct
0.000 0.000 0.373
0.000 0.000 0.847
0.500 0.500 0.115
0.500 0.500 0.593
```

Computed properties:
As for the density of states at the Fermi level: 3.36 states/eV per cell. Its space group is P4mm. For the energy relative to the lowest polymorph listed for this composition, the calculation gives 0 meV per atom. As for the formation energy: -1.58 eV/f.u.

[11]
Compound: Pm2InAgTe5
Source: the Alexandria database
Functional: PBE-GGA
Structure: optimized geometry

```
Pm2InAgTe5
1.0
4.361 0.000 0.000
-2.180 9.654 0.000
0.000 0.000 12.987
Pm In Ag Te
4 2 2 10
Direct
0.879 0.757 0.804
0.123 0.246 0.680
0.121 0.243 0.304
0.877 0.754 0.180
0.593 0.186 0.978
0.407 0.814 0.478
0.782 0.564 0.499
0.218 0.436 0.999
0.363 0.726 0.995
0.703 0.407 0.829
0.511 0.023 0.788
0.297 0.593 0.663
0.965 0.930 0.587
0.637 0.274 0.495
0.297 0.593 0.329
0.489 0.977 0.288
0.703 0.407 0.163
0.035 0.070 0.087
```

Computed properties:
Its space group is Cmc2_1. The formation energy (no corrections) is -0.842 eV per atom.

[12]
Compound: PmIn2AgTe4
Source: the Alexandria database
Functional: PBE-GGA
Structure: optimized geometry

```
PmIn2AgTe4
1.0
4.395 0.000 0.000
0.000 7.872 -0.251
0.000 2.677 7.105
Pm In Ag Te
1 2 1 4
Direct
0.000 0.500 0.500
0.000 0.000 0.000
0.500 0.000 0.500
0.500 0.500 0.000
0.000 0.744 0.757
0.000 0.256 0.243
0.500 0.745 0.249
0.500 0.255 0.751
```

Computed properties:
As for the density of states at the Fermi level: 4.40 states/eV per cell. Its space group is P2/m. The formation energy (no corrections) is -0.527 eV per atom.